Entry 1:
DFT (GGA-PBE) results for crystalline PmFe4Ge4 at its relaxed geometry.

The structure belongs to space group P4_2/nmc (No. 137, origin choice 2); the cell edges are 5.833, 5.833 and 8.161 Å and the angles 90.00°, 90.00° and 90.00°. The inequivalent atoms are Pm at (0.250, 0.750, 0.250), Fe at (0.020, 0.250, 0.141) and Ge at (0.037, 0.250, 0.431).

The crystal system is tetragonal. The value obtained for the spin magnetization is 5.822 μB/f.u. The calculation puts the energy at -117.143 eV for the cell shown.

Entry 2:
DFT (GGA-PBE) results for crystalline Pr6ZnSn at its relaxed geometry.

The structure belongs to space group I4/mmm (No. 139); the cell edges are 5.271, 5.271 and 18.523 Å and the angles 90.00°, 90.00° and 90.00°. The inequivalent atoms are Pr at (0.000, 0.000, 0.250), Pr at (0.000, 0.500, 0.107), Zn at (0.000, 0.000, 0.000) and Sn at (0.000, 0.000, 0.500).

The crystal system is tetragonal. The value obtained for the spin magnetization is 0.000 μB/f.u. The calculation puts the energy at -71.672 eV for the cell shown.

Entry 3:
DFT (GGA-PBE) results for crystalline Y2ZrSe at its relaxed geometry.

The structure belongs to space group Cm (No. 8); the cell edges are 11.070, 3.579 and 6.131 Å and the angles 90.00°, 120.98° and 90.00°. The inequivalent atoms are Y at (0.000, 0.000, 0.000), Y at (0.181, 0.000, 0.624), Zr at (0.299, 0.500, 0.215) and Se at (0.454, 0.000, 0.606).

The crystal system is monoclinic. The value obtained for the spin magnetization is 0.000 μB/f.u. The calculation puts the energy at -54.620 eV for the cell shown.

Entry 4:
DFT (GGA-PBE) results for crystalline Pm5CrGe4 at its relaxed geometry.

The structure belongs to space group C2/m (No. 12); the cell edges are 18.491, 3.940 and 7.832 Å and the angles 90.00°, 113.37° and 90.00°. The inequivalent atoms are Pm at (0.000, 0.000, 0.000), Pm at (0.144, 0.500, 0.506), Pm at (0.191, 0.500, 0.106), Cr at (0.000, 0.000, 0.500), Ge at (0.029, 0.500, 0.742) and Ge at (0.135, 0.000, 0.790).

The crystal system is monoclinic. The value obtained for the spin magnetization is 3.092 μB/f.u. The calculation puts the energy at -112.264 eV for the cell shown.

Entry 5:
DFT (GGA-PBE) results for crystalline KAc2Ge6 at its relaxed geometry.

The structure belongs to space group Immm (No. 71); the cell edges are 4.871, 6.941 and 15.400 Å and the angles 90.00°, 90.00° and 90.00°. The inequivalent atoms are K at (0.000, 0.000, 0.000), Ac at (0.000, 0.500, 0.164), Ge at (0.000, 0.176, 0.500) and Ge at (0.000, 0.316, 0.353).

The crystal system is orthorhombic. The value obtained for the spin magnetization is 0.000 μB/f.u. The calculation puts the energy at -79.348 eV for the cell shown.

Entry 6:
DFT (GGA-PBE) results for crystalline NaTi2CI at its relaxed geometry.

The structure belongs to space group P4/mmm (No. 123); the cell edges are 5.159, 5.159 and 5.525 Å and the angles 90.00°, 90.00° and 90.00°. The inequivalent atoms are Na at (0.000, 0.000, 0.000), Ti at (0.000, 0.500, 0.500), C at (0.500, 0.500, 0.000) and I at (0.000, 0.000, 0.500).

The crystal system is tetragonal. The value obtained for the spin magnetization is 3.672 μB/f.u. The calculation puts the energy at -17.819 eV for the cell shown.

Entry 7:
DFT (GGA-PBE) results for crystalline Tl3BiAu at its relaxed geometry.

The structure belongs to space group Pm-3m (No. 221); the cell edges are 5.544, 5.544 and 5.544 Å and the angles 90.00°, 90.00° and 90.00°. The inequivalent atoms are Tl at (0.000, 0.000, 0.500), Bi at (0.500, 0.500, 0.500) and Au at (0.000, 0.000, 0.000).

The excess energy over the best structure of this formula in the dataset is 4.68 kcal/mol of atoms. The crystal system is cubic. The value obtained for the spin magnetization is 0.000 μB/f.u. The calculation puts the energy at -13.412 eV for the cell shown.

Entry 8:
DFT (GGA-PBE) results for crystalline Ce4Er3Ga4 at its relaxed geometry.

The structure belongs to space group Immm (No. 71); the cell edges are 3.439, 8.758 and 18.498 Å and the angles 90.00°, 90.00° and 90.00°. The inequivalent atoms are Ce at (0.000, 0.160, 0.165), Er at (0.000, 0.000, 0.407), Er at (0.000, 0.500, 0.500), Ga at (0.000, 0.279, 0.000) and Ga at (0.000, 0.500, 0.219).

The crystal system is orthorhombic. The value obtained for the spin magnetization is 2.259 μB/f.u. The calculation puts the energy at -107.463 eV for the cell shown.

Entry 9:
DFT (GGA-PBE) results for crystalline YNi2B at its relaxed geometry.

The structure belongs to space group I-42d (No. 122); the cell edges are 4.424, 4.424 and 13.104 Å and the angles 90.00°, 90.00° and 90.00°. The inequivalent atoms are Y at (0.000, 0.000, 0.000), Ni at (0.035, 0.750, 0.625) and B at (0.000, 0.000, 0.500).

The crystal system is tetragonal. The value obtained for the spin magnetization is 0.000 μB/f.u. The calculation puts the energy at -101.230 eV for the cell shown.

Entry 10:
DFT (GGA-PBE) results for crystalline RbRu2PbO8 at its relaxed geometry.

The structure belongs to space group C2/m (No. 12); the cell edges are 10.856, 6.135 and 7.325 Å and the angles 90.00°, 112.81° and 90.00°. The inequivalent atoms are Rb at (0.000, 0.000, 0.000), Ru at (0.216, 0.000, 0.682), Pb at (0.000, 0.500, 0.500), O at (0.107, 0.500, 0.244), O at (0.147, 0.000, 0.420) and O at (0.154, 0.238, 0.756).

The crystal system is monoclinic. The value obtained for the spin magnetization is 2.855 μB/f.u. The calculation puts the energy at -149.525 eV for the cell shown.

Entry 11:
DFT (GGA-PBE) results for crystalline DyHo2CdN at its relaxed geometry.

The structure belongs to space group P4/mmm (No. 123); the cell edges are 4.798, 4.798 and 4.830 Å and the angles 90.00°, 90.00° and 90.00°. The inequivalent atoms are Dy at (0.000, 0.000, 0.000), Ho at (0.000, 0.500, 0.500), Cd at (0.500, 0.500, 0.000) and N at (0.000, 0.000, 0.500).

The crystal system is tetragonal. The value obtained for the spin magnetization is 0.000 μB/f.u. The calculation puts the energy at -27.290 eV for the cell shown.

Entry 12:
DFT (GGA-PBE) results for crystalline ZnReSi2 at its relaxed geometry.

The structure belongs to space group P4/mmm (No. 123); the cell edges are 3.198, 3.198 and 5.365 Å and the angles 90.00°, 90.00° and 90.00°. The inequivalent atoms are Zn at (0.000, 0.000, 0.000), Re at (0.000, 0.000, 0.500) and Si at (0.500, 0.500, 0.250).

The crystal system is tetragonal. The value obtained for the spin magnetization is 0.000 μB/f.u. The calculation puts the energy at -24.335 eV for the cell shown.

Entry 13:
DFT (GGA-PBE) results for crystalline BeCdIr2 at its relaxed geometry.

The structure belongs to space group Pmmm (No. 47); the cell edges are 2.886, 4.408 and 4.658 Å and the angles 90.00°, 90.00° and 90.00°. The inequivalent atoms are Be at (0.000, 0.000, 0.000), Cd at (0.500, 0.000, 0.500), Ir at (0.000, 0.500, 0.500) and Ir at (0.500, 0.500, 0.000).

The excess energy over the best structure of this formula in the dataset is 7.84 kcal/mol of atoms. The crystal system is orthorhombic. The value obtained for the spin magnetization is 0.000 μB/f.u. The calculation puts the energy at -21.354 eV for the cell shown.

Entry 14:
DFT (GGA-PBE) results for crystalline PmPr2Cd3 at its relaxed geometry.

The structure belongs to space group P-3m1 (No. 164); the cell edges are 5.4672, 5.4672 and 13.3873 Å and the angles 90.00°, 90.00° and 120.00°. The inequivalent atoms are Pm at (0.3333, 0.6667, 0.1665), Pr at (0.0000, 0.0000, 0.0000), Pr at (0.0000, 0.0000, 0.5000), Pr at (0.3333, 0.6667, 0.6679), Cd at (0.0000, 0.0000, 0.2483), Cd at (0.3333, 0.6667, 0.4154) and Cd at (0.3333, 0.6667, 0.9171).

The excess energy over the best structure of this formula in the dataset is 0.00 kcal/mol of atoms. The crystal system is trigonal. The value obtained for the spin magnetization is 1.218 μB/f.u. The calculation puts the energy at -37.954 eV for the cell shown.

Entry 15:
DFT (GGA-PBE) results for crystalline LiAc2MnSe5 at its relaxed geometry.

The structure belongs to space group Cmc2_1 (No. 36); the cell edges are 4.350, 18.112 and 11.600 Å and the angles 90.00°, 90.00° and 90.00°. The inequivalent atoms are Li at (0.000, 0.217, 0.000), Ac at (0.000, 0.110, 0.305), Ac at (0.000, 0.129, 0.685), Mn at (0.000, 0.406, 0.478), Se at (0.000, 0.034, 0.043), Se at (0.000, 0.295, 0.344), Se at (0.000, 0.315, 0.643), Se at (0.000, 0.356, 0.996) and Se at (0.000, 0.480, 0.293).

The crystal system is orthorhombic. The value obtained for the spin magnetization is 4.000 μB/f.u. The calculation puts the energy at -200.453 eV for the cell shown.

Entry 16:
DFT (GGA-PBE) results for crystalline SrSc3P at its relaxed geometry.

The structure belongs to space group Pm-3m (No. 221); the cell edges are 5.162, 5.162 and 5.162 Å and the angles 90.00°, 90.00° and 90.00°. The inequivalent atoms are Sr at (0.000, 0.000, 0.000), Sc at (0.000, 0.500, 0.500) and P at (0.500, 0.500, 0.500).

The excess energy over the best structure of this formula in the dataset is 0.00 kcal/mol of atoms. The crystal system is cubic. The value obtained for the spin magnetization is 2.061 μB/f.u. The calculation puts the energy at -27.738 eV for the cell shown.

Entry 17:
DFT (GGA-PBE) results for crystalline Mg2TlPb5 at its relaxed geometry.

The structure belongs to space group I4/mmm (No. 139); the cell edges are 7.111, 7.111 and 9.184 Å and the angles 90.00°, 90.00° and 90.00°. The inequivalent atoms are Mg at (0.000, 0.500, 0.000), Tl at (0.000, 0.000, 0.000), Pb at (0.000, 0.000, 0.500) and Pb at (0.250, 0.250, 0.250).

The excess energy over the best structure of this formula in the dataset is 0.00 kcal/mol of atoms. The crystal system is tetragonal. The value obtained for the spin magnetization is 0.000 μB/f.u. The calculation puts the energy at -47.997 eV for the cell shown.

Entry 18:
DFT (GGA-PBE) results for crystalline V3RhW at its relaxed geometry.

The structure belongs to space group Pm-3m (No. 221); the cell edges are 4.472, 4.472 and 4.472 Å and the angles 90.00°, 90.00° and 90.00°. The inequivalent atoms are V at (0.000, 0.000, 0.500), Rh at (0.000, 0.000, 0.000) and W at (0.500, 0.500, 0.500).

The excess energy over the best structure of this formula in the dataset is 30.93 kcal/mol of atoms. The crystal system is cubic. The value obtained for the spin magnetization is 1.234 μB/f.u. The calculation puts the energy at -40.819 eV for the cell shown.

Entry 19:
DFT (GGA-PBE) results for crystalline PmZn4Pb at its relaxed geometry.

The structure belongs to space group F-43m (No. 216); the cell edges are 7.900, 7.900 and 7.900 Å and the angles 90.00°, 90.00° and 90.00°. The inequivalent atoms are Pm at (0.000, 0.000, 0.000), Zn at (0.125, 0.125, 0.375) and Pb at (0.250, 0.250, 0.750).

The crystal system is cubic. The value obtained for the spin magnetization is 0.000 μB/f.u. The calculation puts the energy at -57.389 eV for the cell shown.

Entry 20:
DFT (GGA-PBE) results for crystalline ErTmTl at its relaxed geometry.

The structure belongs to space group P3m1 (No. 156); the cell edges are 5.2076, 5.2076 and 3.6441 Å and the angles 90.00°, 90.00° and 120.00°. The inequivalent atoms are Er at (0.0000, 0.0000, 0.0000), Tm at (0.6667, 0.3333, 0.4647) and Tl at (0.3333, 0.6667, 0.6876).

The excess energy over the best structure of this formula in the dataset is 2.92 kcal/mol of atoms. The crystal system is trigonal. The value obtained for the spin magnetization is 0.000 μB/f.u. The calculation puts the energy at -11.751 eV for the cell shown.